## LiH3Rh (PBE)

Data for a geometry-optimized LiH3Rh structure. Values from VASP.

## Properties
Total DFT energy (no corrections), eV per atom: -3.914
Crystal system: tetragonal
Total magnetization, μB/f.u.: 0.0

Geometry as Quantum ESPRESSO input:
```
&SYSTEM
  ibrav = 0, nat = 10, ntyp = 3
/
ATOMIC_SPECIES
Li 6.94 Li.upf
H 1.01 H.upf
Rh 102.91 Rh.upf
CELL_PARAMETERS angstrom
-1.5091 1.5091 8.8896
1.5091 -1.5091 8.8896
1.5091 1.5091 -8.8896
ATOMIC_POSITIONS crystal
Li 0.1129 0.1129 0.0000
Li 0.8871 0.8871 0.0000
H 0.0446 0.5446 0.5000
H 0.1153 0.3291 0.7862
H 0.4554 0.9554 0.5000
H 0.5429 0.3291 0.2138
H 0.6709 0.4571 0.7862
H 0.6709 0.8847 0.2138
Rh 0.5000 0.5000 0.0000
Rh 0.7500 0.2500 0.5000
```